1.
Material: Ho2TmTi
Method: DFT, GGA-PBE
State: relaxed

Cell: 3.3933 3.3933 10.9741 Å, 81.10 81.10 60.01°
Last column: nearest neighbours and their distance in Å.
Atoms (fractional coordinates):
1 Tm 0.5001 0.5001 0.4999  6 Tm 3.39, 6 Ho 3.52-3.53
2 Ho 0.0763 0.0763 0.7711  3 Ti 3.16, 6 Ho 3.39, 3 Tm 3.52
3 Ti 0.6664 0.6664 0.0007  6 Ho 3.14-3.16, 6 Ti 3.39
4 Ho 0.2572 0.2572 0.2283  3 Ti 3.14, 6 Ho 3.39

Excess energy over the best structure of this formula in the dataset (meV/atom): 26
E (Ry/atom): -0.38177



2.
Material: HoTm2Ti
Method: DFT, GGA-PBE
State: relaxed

Cell: 3.3833 3.3833 10.9449 Å, 81.11 81.11 60.00°
Last column: nearest neighbours and their distance in Å.
Atoms (fractional coordinates):
1 Tm 0.2576 0.2576 0.2273  3 Ti 3.12, 6 Tm 3.38
2 Ho 0.5002 0.5002 0.4993  6 Ho 3.38, 6 Tm 3.52-3.53
3 Ti 0.6663 0.6663 0.0011  6 Tm 3.12-3.14, 6 Ti 3.38
4 Tm 0.0759 0.0759 0.7724  3 Ti 3.14, 6 Tm 3.38

Excess energy over the best structure of this formula in the dataset (meV/atom): 23
E (Ry/atom): -0.38070



3.
Material: Ho2TmTi
Method: DFT, GGA-PBE
State: relaxed

Cell: 4.7379 4.7637 4.7637 Å, 90.00 90.00 90.00°
Last column: nearest neighbours and their distance in Å.
Atoms (fractional coordinates):
1 Ti 0.5000 0.0000 0.0000  8 Ho 3.36, 4 Tm 3.37
2 Tm 0.5000 0.5000 0.5000  8 Ho 3.36, 4 Ti 3.37
3 Ho 0.0000 0.5000 0.0000  4 Tm 3.36, 4 Ti 3.36, 4 Ho 3.37
4 Ho 0.0000 0.0000 0.5000  4 Tm 3.36, 4 Ti 3.36, 4 Ho 3.37

Excess energy over the best structure of this formula in the dataset (meV/atom): 34
E (Ry/atom): -0.38121